! ZnBiIr | Alexandria | PBE-GGA | optimized geometry; values from VASP
&SYSTEM
  ibrav = 0, nat = 6, ntyp = 3
/
ATOMIC_SPECIES
Zn 65.41 Zn.upf
Bi 208.98 Bi.upf
Ir 192.22 Ir.upf
CELL_PARAMETERS angstrom
4.085 0.000 0.000
-2.042 3.537 0.000
0.000 0.000 8.664
ATOMIC_POSITIONS angstrom
Zn 0.000 2.358 0.332
Zn 2.042 1.179 8.333
Bi 0.000 2.358 5.719
Bi 2.042 1.179 2.945
Ir 0.000 0.000 1.379
Ir 0.000 0.000 7.285
! ΔE to the lowest computed polymorph = 5.5 kJ per mole of atoms
! Space group = P-3m1
! E = -4.663 eV per atom
! DFT formation energy = 0.0095 eV per atom
! DOS at the Fermi energy = 0.952 states/eV/f.u.